Record 1
{
  "formula": "ScSi3Ir5",
  "functional": "PBE",
  "state": "optimized geometry",
  "density_g_cm3": 12.183,
  "total_magnetization_mub_per_fu": 0.0,
  "final_energy_ev_per_cell": -143.2,
  "e_form_raw_mev_per_atom": -523,
  "lattice_angstrom": [[-0.472, -2.147, -3.128], [2.227, -3.955, 4.716], [-11.673, -2.460, 3.451]],
  "species": ["Ir", "Ir", "Ir", "Ir", "Ir", "Ir", "Ir", "Ir", "Ir", "Ir", "Sc", "Sc", "Si", "Si", "Si", "Si", "Si", "Si"],
  "frac_coords": [[0.453, 0.905, 0.148], [0.797, 0.594, 0.427], [0.453, 0.905, 0.352], [0.797, 0.594, 0.073], [0.547, 0.095, 0.852], [0.547, 0.095, 0.648], [0.203, 0.406, 0.573], [0.203, 0.406, 0.927], [0.000, 0.000, 0.000], [0.000, 0.000, 0.500], [0.108, 0.217, 0.250], [0.892, 0.783, 0.750], [0.617, 0.234, 0.040], [0.866, 0.732, 0.250], [0.617, 0.234, 0.460], [0.383, 0.766, 0.960], [0.134, 0.268, 0.750], [0.383, 0.766, 0.540]]
}

---

Record 2
{
  "formula": "ScSi2Ir",
  "functional": "PBE",
  "state": "optimized geometry",
  "density_g_cm3": 7.536,
  "total_magnetization_mub_per_fu": 0.0,
  "final_energy_ev_per_cell": -29.1,
  "e_form_raw_mev_per_atom": -763,
  "lattice_angstrom": [[-0.247, 3.596, 1.836], [-3.505, 2.018, 0.010], [-2.441, -0.173, 4.508]],
  "species": ["Ir", "Si", "Si", "Sc"],
  "frac_coords": [[0.250, 0.250, 0.250], [0.969, 0.969, 0.095], [0.531, 0.531, 0.405], [0.750, 0.750, 0.750]]
}

---

Record 3
{
  "formula": "Sc5Si10Ir4",
  "functional": "PBE",
  "state": "optimized geometry",
  "density_g_cm3": 6.730,
  "total_magnetization_mub_per_fu": 0.0,
  "final_energy_ev_per_cell": -275.1,
  "e_form_raw_mev_per_atom": -854,
  "lattice_angstrom": [[12.403, 0.000, 0.000], [0.000, 12.403, 0.000], [0.000, 0.000, 4.089]],
  "species": ["Si", "Si", "Si", "Si", "Si", "Si", "Si", "Si", "Si", "Si", "Si", "Si", "Si", "Si", "Si", "Si", "Si", "Si", "Si", "Si", "Sc", "Sc", "Sc", "Sc", "Sc", "Sc", "Sc", "Sc", "Sc", "Sc", "Ir", "Ir", "Ir", "Ir", "Ir", "Ir", "Ir", "Ir"],
  "frac_coords": [[0.506, 0.349, 0.500], [0.834, 0.200, 0.000], [0.434, 0.934, 0.000], [0.651, 0.506, 0.500], [0.334, 0.300, 0.000], [0.349, 0.494, 0.500], [0.151, 0.994, 0.500], [0.849, 0.006, 0.500], [0.566, 0.066, 0.000], [0.200, 0.166, 0.000], [0.300, 0.666, 0.000], [0.066, 0.434, 0.000], [0.006, 0.151, 0.500], [0.166, 0.800, 0.000], [0.934, 0.566, 0.000], [0.494, 0.651, 0.500], [0.800, 0.834, 0.000], [0.700, 0.334, 0.000], [0.666, 0.700, 0.000], [0.994, 0.849, 0.500], [0.616, 0.884, 0.500], [0.500, 0.500, 0.000], [0.674, 0.174, 0.500], [0.174, 0.326, 0.500], [0.826, 0.674, 0.500], [0.000, 0.000, 0.000], [0.384, 0.116, 0.500], [0.326, 0.826, 0.500], [0.116, 0.616, 0.500], [0.884, 0.384, 0.500], [0.247, 0.981, 0.000], [0.019, 0.247, 0.000], [0.981, 0.753, 0.000], [0.747, 0.519, 0.000], [0.519, 0.253, 0.000], [0.481, 0.747, 0.000], [0.253, 0.481, 0.000], [0.753, 0.019, 0.000]]
}

---

Record 4
{
  "formula": "Sc2Si9Ir3",
  "functional": "PBE",
  "state": "optimized geometry",
  "density_g_cm3": 7.241,
  "total_magnetization_mub_per_fu": 0.0,
  "final_energy_ev_per_cell": -187.2,
  "e_form_raw_mev_per_atom": -397,
  "lattice_angstrom": [[6.796, 0.112, -2.826], [-3.916, 6.232, -0.119], [0.170, -0.039, 9.795]],
  "species": ["Si", "Si", "Si", "Si", "Si", "Si", "Si", "Si", "Si", "Si", "Si", "Si", "Si", "Si", "Si", "Si", "Si", "Si", "Sc", "Sc", "Sc", "Sc", "Ir", "Ir", "Ir", "Ir", "Ir", "Ir"],
  "frac_coords": [[0.466, 0.906, 0.749], [0.187, 0.515, 0.550], [0.565, 0.209, 0.601], [0.243, 0.694, 0.097], [0.342, 0.282, 0.249], [0.534, 0.094, 0.251], [0.856, 0.106, 0.750], [0.096, 0.146, 0.403], [0.108, 0.964, 0.899], [0.757, 0.306, 0.903], [0.535, 0.362, 0.050], [0.465, 0.638, 0.950], [0.435, 0.791, 0.399], [0.904, 0.854, 0.597], [0.658, 0.718, 0.751], [0.892, 0.036, 0.101], [0.813, 0.485, 0.450], [0.144, 0.894, 0.250], [0.316, 0.284, 0.743], [0.958, 0.427, 0.243], [0.042, 0.573, 0.757], [0.684, 0.716, 0.257], [0.189, 0.876, 0.503], [0.811, 0.124, 0.497], [0.873, 0.686, 0.997], [0.127, 0.314, 0.003], [0.500, 0.000, 0.000], [0.500, 0.500, 0.500]]
}

---

Record 5
{
  "formula": "ScSi2Ir",
  "functional": "PBE",
  "state": "optimized geometry",
  "density_g_cm3": 7.544,
  "total_magnetization_mub_per_fu": 0.0,
  "final_energy_ev_per_cell": -27.7,
  "e_form_raw_mev_per_atom": -422,
  "lattice_angstrom": [[5.320, -0.003, 0.002], [2.176, 4.855, -0.002], [-2.957, -3.649, 2.500]],
  "species": ["Ir", "Sc", "Si", "Si"],
  "frac_coords": [[0.750, 0.250, 0.500], [0.250, 0.750, 0.500], [0.526, 0.526, 0.000], [0.974, 0.974, 0.000]]
}

---

Record 6
{
  "formula": "ScSi2Ir",
  "functional": "PBE",
  "state": "optimized geometry",
  "density_g_cm3": 7.606,
  "total_magnetization_mub_per_fu": 0.0,
  "final_energy_ev_per_cell": -28.2,
  "e_form_raw_mev_per_atom": -536,
  "lattice_angstrom": [[4.326, 0.000, 0.000], [0.000, 3.032, -0.003], [0.000, 0.005, 4.882]],
  "species": ["Si", "Si", "Ir", "Sc"],
  "frac_coords": [[0.500, 0.250, 0.251], [0.000, 0.250, 0.999], [0.000, 0.250, 0.502], [0.500, 0.750, 0.748]]
}

---

Record 7
{
  "formula": "ScSi2Ir",
  "functional": "PBE",
  "state": "optimized geometry",
  "density_g_cm3": 8.061,
  "total_magnetization_mub_per_fu": 0.0,
  "final_energy_ev_per_cell": -28.0,
  "e_form_raw_mev_per_atom": -492,
  "lattice_angstrom": [[4.951, 0.004, 0.000], [2.008, 4.526, 0.000], [-3.480, -2.265, 2.698]],
  "species": ["Si", "Si", "Ir", "Sc"],
  "frac_coords": [[0.000, 0.000, 0.000], [0.250, 0.750, 0.500], [0.500, 0.500, 0.000], [0.750, 0.250, 0.500]]
}

---

Record 8
{
  "formula": "Sc2Si2SnIr5",
  "functional": "PBE",
  "state": "optimized geometry",
  "density_g_cm3": 12.687,
  "total_magnetization_mub_per_fu": 0.0,
  "final_energy_ev_per_cell": -160.1,
  "e_form_raw_mev_per_atom": -822,
  "lattice_angstrom": [[3.582, 0.000, 0.000], [0.000, 9.465, 0.000], [0.000, 0.000, 9.465]],
  "species": ["Sc", "Sc", "Sc", "Sc", "Ir", "Ir", "Ir", "Ir", "Ir", "Ir", "Ir", "Ir", "Ir", "Ir", "Si", "Si", "Si", "Si", "Sn", "Sn"],
  "frac_coords": [[0.000, 0.326, 0.826], [0.000, 0.174, 0.326], [0.000, 0.674, 0.174], [0.000, 0.826, 0.674], [0.500, 0.571, 0.713], [0.500, 0.071, 0.787], [0.500, 0.287, 0.571], [0.500, 0.500, 0.000], [0.500, 0.213, 0.071], [0.500, 0.000, 0.500], [0.500, 0.429, 0.287], [0.500, 0.713, 0.429], [0.500, 0.787, 0.929], [0.500, 0.929, 0.213], [0.000, 0.124, 0.624], [0.000, 0.624, 0.876], [0.000, 0.876, 0.376], [0.000, 0.376, 0.124], [0.000, 0.000, 0.000], [0.000, 0.500, 0.500]]
}

---

Record 9
{
  "formula": "ScTaSi2Ir",
  "functional": "PBE",
  "state": "optimized geometry",
  "density_g_cm3": 7.847,
  "total_magnetization_mub_per_fu": 0.0,
  "final_energy_ev_per_cell": -31.2,
  "e_form_raw_mev_per_atom": 1344,
  "lattice_angstrom": [[-3.541, -1.566, 2.606], [2.932, -0.915, 3.435], [-0.649, 4.298, 1.700]],
  "species": ["Ir", "Si", "Si", "Ta", "Sc"],
  "frac_coords": [[0.000, 0.500, 0.000], [0.500, 0.000, 0.000], [0.000, 0.000, 0.500], [0.500, 0.500, 0.500], [0.000, 0.000, 0.000]]
}

---

Record 10
{
  "formula": "Sc2TiSiIr",
  "functional": "PBE",
  "state": "optimized geometry",
  "density_g_cm3": 5.627,
  "total_magnetization_mub_per_fu": 0.0,
  "final_energy_ev_per_cell": -34.0,
  "e_form_raw_mev_per_atom": 171,
  "lattice_angstrom": [[4.925, 0.000, 0.000], [0.000, 4.357, 0.000], [0.000, 0.000, 4.925]],
  "species": ["Sc", "Sc", "Si", "Ti", "Ir"],
  "frac_coords": [[0.500, 0.000, 0.000], [0.000, 0.000, 0.500], [0.000, 0.000, 0.000], [0.500, 0.500, 0.500], [0.000, 0.500, 0.000]]
}

---

Record 11
{
  "formula": "ScU2Si3Ir4",
  "functional": "PBE",
  "state": "optimized geometry",
  "density_g_cm3": 12.967,
  "total_magnetization_mub_per_fu": 3.9,
  "final_energy_ev_per_cell": -88.3,
  "e_form_raw_mev_per_atom": -764,
  "lattice_angstrom": [[4.004, 0.000, 0.000], [0.000, 4.004, 0.000], [0.000, 0.000, 10.977]],
  "species": ["Sc", "Ir", "Ir", "Ir", "Ir", "U", "U", "Si", "Si", "Si"],
  "frac_coords": [[0.500, 0.500, 0.500], [0.500, 0.500, 0.000], [0.000, 0.500, 0.339], [0.000, 0.000, 0.000], [0.500, 0.000, 0.661], [0.000, 0.500, 0.761], [0.500, 0.000, 0.239], [0.500, 0.000, 0.878], [0.000, 0.500, 0.122], [0.000, 0.000, 0.500]]
}

---

Record 12
{
  "formula": "Sm3ScIr8",
  "functional": "PBE",
  "state": "optimized geometry",
  "density_g_cm3": 15.428,
  "total_magnetization_mub_per_fu": 0.0,
  "final_energy_ev_per_cell": -100.2,
  "e_form_ev_per_atom": -0.73,
  "lattice_angstrom": [[5.142, 0.000, 1.552], [2.337, 4.580, 1.552], [-0.001, 0.000, 9.295]],
  "species": ["Sm", "Sm", "Sm", "Ir", "Ir", "Ir", "Ir", "Ir", "Ir", "Ir", "Ir", "Sc"],
  "frac_coords": [[0.375, 0.375, 0.874], [0.501, 0.501, 0.496], [0.998, 0.998, 0.005], [0.688, 0.688, 0.937], [0.938, 0.938, 0.683], [0.440, 0.938, 0.683], [0.936, 0.437, 0.191], [0.938, 0.440, 0.683], [0.437, 0.936, 0.191], [0.437, 0.437, 0.191], [0.188, 0.188, 0.437], [0.874, 0.874, 0.378]]
}

---

Please write out number 12 again, unchanged.
{
  "formula": "Sm3ScIr8",
  "functional": "PBE",
  "state": "optimized geometry",
  "density_g_cm3": 15.428,
  "total_magnetization_mub_per_fu": 0.0,
  "final_energy_ev_per_cell": -100.2,
  "e_form_ev_per_atom": -0.73,
  "lattice_angstrom": [[5.142, 0.000, 1.552], [2.337, 4.580, 1.552], [-0.001, 0.000, 9.295]],
  "species": ["Sm", "Sm", "Sm", "Ir", "Ir", "Ir", "Ir", "Ir", "Ir", "Ir", "Ir", "Sc"],
  "frac_coords": [[0.375, 0.375, 0.874], [0.501, 0.501, 0.496], [0.998, 0.998, 0.005], [0.688, 0.688, 0.937], [0.938, 0.938, 0.683], [0.440, 0.938, 0.683], [0.936, 0.437, 0.191], [0.938, 0.440, 0.683], [0.437, 0.936, 0.191], [0.437, 0.437, 0.191], [0.188, 0.188, 0.437], [0.874, 0.874, 0.378]]
}